Entry 1:
Computed, not measured: an optimized crystal structure of Li2P7H27N9 at the PBE-GGA level of DFT.

Properties
symmetry: P-1, No. 2
E_tot: -4.979 eV/atom
Fermi-level density of states: 0.0000 states/eV per atom
volume: 11.976 Å³/atom

Lattice parameters (Å, degrees): 9.4878 9.7244 13.6129 98.04 93.04 118.93
Atoms (fractional coordinates):
H (0.6631, 0.3114, 0.9741)
H (0.3369, 0.6886, 0.0259)
H (0.5653, 0.3867, 0.0355)
H (0.4347, 0.6133, 0.9645)
H (0.6022, 0.4189, 0.9215)
H (0.3978, 0.5811, 0.0785)
H (0.3526, 0.1010, 0.7322)
H (0.6474, 0.8990, 0.2678)
H (0.1791, 0.9517, 0.7501)
H (0.8209, 0.0483, 0.2499)
H (0.3473, 0.9398, 0.7606)
H (0.6527, 0.0602, 0.2394)
H (0.2160, 0.3139, 0.8741)
H (0.7840, 0.6861, 0.1259)
H (0.1450, 0.2583, 0.9784)
H (0.8550, 0.7417, 0.0216)
H (0.0602, 0.1324, 0.8697)
H (0.9398, 0.8676, 0.1303)
H (0.2266, 0.8818, 0.0132)
H (0.7734, 0.1182, 0.9868)
H (0.2394, 0.0350, 0.0924)
H (0.7606, 0.9650, 0.9076)
H (0.4017, 0.0248, 0.0766)
H (0.5983, 0.9752, 0.9234)
H (0.6918, 0.2598, 0.7413)
H (0.3082, 0.7402, 0.2587)
H (0.8343, 0.2626, 0.8169)
H (0.1657, 0.7374, 0.1831)
H (0.7080, 0.0974, 0.7392)
H (0.2920, 0.9026, 0.2608)
H (0.9617, 0.5563, 0.5643)
H (0.0383, 0.4437, 0.4357)
H (0.1243, 0.5865, 0.6358)
H (0.8757, 0.4135, 0.3642)
H (0.9674, 0.5838, 0.6844)
H (0.0326, 0.4162, 0.3156)
H (0.0389, 0.1043, 0.6373)
H (0.9611, 0.8957, 0.3627)
H (0.1857, 0.2930, 0.6655)
H (0.8143, 0.7070, 0.3345)
H (0.1143, 0.2085, 0.5488)
H (0.8857, 0.7915, 0.4512)
H (0.6404, 0.1676, 0.4859)
H (0.3596, 0.8324, 0.5141)
H (0.6784, 0.0272, 0.5147)
H (0.3216, 0.9728, 0.4853)
H (0.7737, 0.1349, 0.4321)
H (0.2263, 0.8651, 0.5679)
H (0.1765, 0.6591, 0.8638)
H (0.8235, 0.3409, 0.1362)
H (0.9981, 0.6355, 0.8853)
H (0.0019, 0.3645, 0.1147)
H (0.0602, 0.5178, 0.9220)
H (0.9398, 0.4822, 0.0780)
Li (0.3347, 0.1353, 0.9233)
Li (0.6653, 0.8647, 0.0767)
Li (0.9032, 0.2841, 0.6240)
Li (0.0968, 0.7159, 0.3760)
N (0.5684, 0.3334, 0.9655)
N (0.4316, 0.6666, 0.0345)
N (0.3017, 0.0161, 0.7759)
N (0.6983, 0.9839, 0.2241)
N (0.1689, 0.2193, 0.9109)
N (0.8311, 0.7807, 0.0891)
N (0.2954, 0.0035, 0.0379)
N (0.7046, 0.9965, 0.9621)
N (0.7735, 0.2195, 0.7456)
N (0.2265, 0.7805, 0.2544)
N (0.9990, 0.5288, 0.6269)
N (0.0010, 0.4712, 0.3731)
N (0.0797, 0.2147, 0.6186)
N (0.9203, 0.7853, 0.3814)
N (0.7307, 0.1407, 0.4990)
N (0.2693, 0.8593, 0.5010)
N (0.0985, 0.6341, 0.9165)
N (0.9015, 0.3659, 0.0835)
P (0.6451, 0.7953, 0.6206)
P (0.3549, 0.2047, 0.3794)
P (0.6240, 0.5650, 0.5459)
P (0.3760, 0.4350, 0.4541)
P (0.4371, 0.7261, 0.7018)
P (0.5629, 0.2739, 0.2982)
P (0.8465, 0.8465, 0.7324)
P (0.1535, 0.1535, 0.2676)
P (0.5574, 0.4300, 0.6691)
P (0.4426, 0.5700, 0.3309)
P (0.4593, 0.5554, 0.7745)
P (0.5407, 0.4446, 0.2255)
P (0.7284, 0.6323, 0.7950)
P (0.2716, 0.3677, 0.2050)



Entry 2:
Computed, not measured: an optimized crystal structure of RbLiCeO3 at the PBE-GGA level of DFT.

Properties
symmetry: Cmcm, No. 63
E_tot: -6.486 eV/atom
Fermi-level density of states: 0.0000 states/eV per atom
formation energy from raw total energies: -2538 meV/atom
volume: 16.870 Å³/atom

Lattice parameters (Å, degrees): 3.5832 6.4891 9.0585 90.00 90.00 106.03
Atoms (fractional coordinates):
Rb (0.7334, 0.4668, 0.7500)
Rb (0.2666, 0.5332, 0.2500)
Li (0.4589, 0.9179, 0.7500)
Li (0.5411, 0.0821, 0.2500)
Ce (0.0000, 0.0000, 0.5000)
Ce (0.0000, 0.0000, 0.0000)
O (0.6042, 0.2084, 0.4447)
O (0.3958, 0.7916, 0.5553)
O (0.3958, 0.7916, 0.9447)
O (0.6042, 0.2084, 0.0553)
O (0.0354, 0.0707, 0.7500)
O (0.9646, 0.9293, 0.2500)



Entry 3:
Computed, not measured: an optimized crystal structure of Tb4Pm3Tm5 at the PBE-GGA level of DFT.

Properties
symmetry: P-1, No. 2
E_tot: -4.575 eV/atom
Fermi-level density of states: 1.2828 states/eV per atom
polymorph energy (0 for the lowest one): 0.000 eV per atom
ΔE_f: 1.8 kJ/mol of atoms
volume: 31.643 Å³/atom

Lattice parameters (Å, degrees): 7.1041 11.2278 12.8013 151.30 56.39 129.24
Atoms (fractional coordinates):
Tb (0.9180, 0.8359, 0.6686)
Tb (0.8317, 0.6639, 0.8325)
Tb (0.1683, 0.3361, 0.1675)
Tb (0.0820, 0.1641, 0.3314)
Pm (0.5832, 0.1663, 0.3330)
Pm (0.0000, 0.0000, 0.5000)
Pm (0.4168, 0.8337, 0.6670)
Tm (0.3314, 0.6663, 0.8349)
Tm (0.5000, 0.0000, 0.5000)
Tm (0.7499, 0.5009, 0.0009)
Tm (0.2501, 0.4991, 0.9991)
Tm (0.6686, 0.3337, 0.1651)



Entry 4:
Computed, not measured: an optimized crystal structure of Sr3TiSi at the PBE-GGA level of DFT.

Properties
symmetry: Pm-3m, No. 221
E_tot: -3.078 eV/atom
Fermi-level density of states: 2.8055 states/eV per atom
formation energy from raw total energies: 595 meV/atom
polymorph energy (0 for the lowest one): 0.000 eV per atom
volume: 43.625 Å³/atom

Lattice parameters (Å, degrees): 6.0196 6.0196 6.0196 90.00 90.00 90.00
Each line ends with the local moment (μB).
Atoms (fractional coordinates):
Sr (0.0000, 0.5000, 0.0000)  -0.03
Sr (0.0000, 0.0000, 0.5000)  -0.01
Sr (0.5000, 0.0000, 0.0000)  -0.02
Si (0.0000, 0.0000, 0.0000)  -0.07
Ti (0.5000, 0.5000, 0.5000)  -0.05



Entry 5:
Computed, not measured: an optimized crystal structure of KTaW2 at the PBE-GGA level of DFT.

Properties
symmetry: P4mm, No. 99
E_tot: -8.758 eV/atom
Fermi-level density of states: 0.8063 states/eV per atom
polymorph energy (0 for the lowest one): 0.232 eV per atom
ΔE_f: 92.2 kJ/mol of atoms
volume: 20.576 Å³/atom

Lattice parameters (Å, degrees): 2.7231 2.7231 11.0998 90.00 90.00 90.00
Atoms (fractional coordinates):
K (0.0000, 0.0000, 0.4911)
Ta (0.5000, 0.5000, 0.7966)
W (0.0000, 0.0000, 0.0038)
W (0.5000, 0.5000, 0.2085)



Entry 6:
Computed, not measured: an optimized crystal structure of Th5Ir2 at the PBE-GGA level of DFT.

Properties
symmetry: C2/c, No. 15
E_tot: -8.406 eV/atom
Fermi-level density of states: 1.2196 states/eV per atom
ΔE_f: -55.4 kJ/mol of atoms
volume: 28.613 Å³/atom

Lattice parameters (Å, degrees): 6.4794 7.2480 9.1863 96.65 110.65 90.00
Atoms (fractional coordinates):
Th (0.1824, 0.4187, 0.1910)
Th (0.9913, 0.0813, 0.8090)
Th (0.1824, 0.6892, 0.5661)
Th (0.6163, 0.8108, 0.4339)
Th (0.8176, 0.3108, 0.4339)
Th (0.3837, 0.1892, 0.5661)
Th (0.0087, 0.9187, 0.1910)
Th (0.8176, 0.5813, 0.8090)
Th (0.5914, 0.2500, 0.0000)
Th (0.4086, 0.7500, 0.0000)
Ir (0.2133, 0.4116, 0.7820)
Ir (0.4313, 0.0884, 0.2180)
Ir (0.7867, 0.5884, 0.2180)
Ir (0.5687, 0.9116, 0.7820)



Entry 7:
Computed, not measured: an optimized crystal structure of CuAgPt2 at the PBE-GGA level of DFT.

Properties
symmetry: P4mm, No. 99
E_tot: -4.791 eV/atom
Fermi-level density of states: 0.8961 states/eV per atom
polymorph energy (0 for the lowest one): 0.101 eV per atom
ΔE_f: -3.3 kJ/mol of atoms
volume: 15.267 Å³/atom

Lattice parameters (Å, degrees): 2.7881 2.7881 7.8558 90.00 90.00 90.00
Atoms (fractional coordinates):
Cu (0.5000, 0.5000, 0.7592)
Ag (0.0000, 0.0000, 0.5139)
Pt (0.0000, 0.0000, 0.9841)
Pt (0.5000, 0.5000, 0.2428)



Entry 8:
Computed, not measured: an optimized crystal structure of VZnTc2 at the PBE-GGA level of DFT.

Properties
symmetry: P4/mmm, No. 123
E_tot: -7.809 eV/atom
Fermi-level density of states: 1.2574 states/eV per atom
ΔE_f: -2.7 kJ/mol of atoms
volume: 14.089 Å³/atom

Lattice parameters (Å, degrees): 3.0782 3.0782 5.9478 90.00 90.00 90.00
Atoms (fractional coordinates):
Zn (0.5000, 0.5000, 0.5000)
Tc (0.0000, 0.0000, 0.7621)
Tc (0.0000, 0.0000, 0.2379)
V (0.5000, 0.5000, 0.0000)



Entry 9:
Computed, not measured: an optimized crystal structure of SmAgGe2Pt5 at the PBE-GGA level of DFT.

Properties
symmetry: P4/mmm, No. 123
E_tot: -5.791 eV/atom
Fermi-level density of states: 0.3095 states/eV per atom
ΔE_f: -54.8 kJ/mol of atoms
volume: 18.110 Å³/atom

Lattice parameters (Å, degrees): 4.1740 4.1740 9.3554 90.00 90.00 90.00
Atoms (fractional coordinates):
Sm (0.0000, 0.0000, 0.5000)
Ag (0.0000, 0.0000, 0.0000)
Ge (0.5000, 0.5000, 0.1295)
Ge (0.5000, 0.5000, 0.8705)
Pt (0.0000, 0.5000, 0.2712)
Pt (0.5000, 0.0000, 0.2712)
Pt (0.0000, 0.5000, 0.7288)
Pt (0.5000, 0.0000, 0.7288)
Pt (0.5000, 0.5000, 0.5000)